[1]
First-principles (PBE) data for a relaxed structure of BaNiAg4, as listed in Alexandria.

```
data_BaNiAg4
_chemical_formula_sum 'Ba4 Ni4 Ag16'
_cell_length_a 8.0694
_cell_length_b 8.0694
_cell_length_c 8.0694
_cell_angle_alpha 90.00
_cell_angle_beta 90.00
_cell_angle_gamma 90.00
_space_group_name_H-M_alt 'F -4 3 m'
_space_group_IT_number 216
_space_group_name_Hall 'F -4 2 3'
loop_
_atom_site_label
_atom_site_fract_x
_atom_site_fract_y
_atom_site_fract_z
Ba1 0.0000 0.0000 0.0000
Ni1 0.2500 0.2500 0.7500
Ag1 0.1237 0.1237 0.3763
```

**Calculated volume**: 525.4 Å³ per cell
**ΔE_f**: 0.8 eV per formula unit

***

[2]
First-principles (PBE) data for a relaxed structure of BaNi4Ag, as listed in Alexandria.

```
data_BaNi4Ag
_chemical_formula_sum 'Ba4 Ni16 Ag4'
_cell_length_a 7.3061
_cell_length_b 7.3061
_cell_length_c 7.3061
_cell_angle_alpha 90.00
_cell_angle_beta 90.00
_cell_angle_gamma 90.00
_space_group_name_H-M_alt 'F -4 3 m'
_space_group_IT_number 216
_space_group_name_Hall 'F -4 2 3'
loop_
_atom_site_label
_atom_site_fract_x
_atom_site_fract_y
_atom_site_fract_z
Ba1 0.0000 0.0000 0.0000
Ni1 0.1240 0.1240 0.6240
Ag1 0.2500 0.2500 0.2500
```

**Calculated volume**: 390.0 Å³ per cell
**ΔE_f**: 1.5 eV per formula unit

***

What did the first record say?
First-principles (PBE) data for a relaxed structure of BaNiAg4, as listed in Alexandria.

```
data_BaNiAg4
_chemical_formula_sum 'Ba4 Ni4 Ag16'
_cell_length_a 8.0694
_cell_length_b 8.0694
_cell_length_c 8.0694
_cell_angle_alpha 90.00
_cell_angle_beta 90.00
_cell_angle_gamma 90.00
_space_group_name_H-M_alt 'F -4 3 m'
_space_group_IT_number 216
_space_group_name_Hall 'F -4 2 3'
loop_
_atom_site_label
_atom_site_fract_x
_atom_site_fract_y
_atom_site_fract_z
Ba1 0.0000 0.0000 0.0000
Ni1 0.2500 0.2500 0.7500
Ag1 0.1237 0.1237 0.3763
```

**Calculated volume**: 525.4 Å³ per cell
**ΔE_f**: 0.8 eV per formula unit

***

> Which of these has the highest ΔE_f?

BaNi4Ag

***

> The lowest ΔE_f belongs to which entry?

BaNiAg4

***

What did the first record say?
First-principles (PBE) data for a relaxed structure of BaNiAg4, as listed in Alexandria.

```
data_BaNiAg4
_chemical_formula_sum 'Ba4 Ni4 Ag16'
_cell_length_a 8.0694
_cell_length_b 8.0694
_cell_length_c 8.0694
_cell_angle_alpha 90.00
_cell_angle_beta 90.00
_cell_angle_gamma 90.00
_space_group_name_H-M_alt 'F -4 3 m'
_space_group_IT_number 216
_space_group_name_Hall 'F -4 2 3'
loop_
_atom_site_label
_atom_site_fract_x
_atom_site_fract_y
_atom_site_fract_z
Ba1 0.0000 0.0000 0.0000
Ni1 0.2500 0.2500 0.7500
Ag1 0.1237 0.1237 0.3763
```

**Calculated volume**: 525.4 Å³ per cell
**ΔE_f**: 0.8 eV per formula unit